1.
Material: La2ZnIr
Method: DFT, PBE
State: optimized geometry

## Properties
total magnetization	0.000	μB per atom
energy relative to the elements	-0.41	eV/atom

Lattice parameters (Å, degrees): 6.4369 6.4369 6.4369 146.84 136.82 55.50
With the nearest neighbours (Å) after each atom.
Fractional coordinates of all 4 atoms:
La 0.0000 0.0000 0.0000  4 Ir 3.00, 2 Zn 3.20
La 0.7127 0.2127 0.5000  2 Ir 3.20, 4 Zn 3.20, 2 La 3.39
Zn 0.3111 0.8111 0.5000  2 Ir 2.68
Ir 0.4827 0.4827 0.0000  2 Zn 2.68, 4 La 3.00

=====

2.
Material: LaZnIr2
Method: DFT, PBE
State: optimized geometry

## Properties
total magnetization	0.000	μB per atom
energy relative to the elements	0.02	eV/atom

Lattice parameters (Å, degrees): 3.6209 3.6209 5.8734 90.00 90.00 90.00
With the nearest neighbours (Å) after each atom.
Fractional coordinates of all 4 atoms:
La 0.0000 0.0000 0.0000  6 Ir 2.86-2.94
Zn 0.5000 0.5000 0.3511  5 Ir 2.54-2.71
Ir 0.0000 0.0000 0.5006  4 Zn 2.71, 2 La 2.93-2.94
Ir 0.5000 0.5000 0.7834  1 Zn 2.54

=====

3.
Material: LaZn2Ir
Method: DFT, PBE
State: optimized geometry

## Properties
total magnetization	0.000	μB per atom
energy relative to the elements	-0.21	eV/atom

Lattice parameters (Å, degrees): 4.7583 4.7583 4.7583 60.00 60.00 60.00
With the nearest neighbours (Å) after each atom.
Fractional coordinates of all 4 atoms:
La 0.0000 0.0000 0.0000  8 Zn 2.91
Zn 0.2500 0.2500 0.2500  4 Ir 2.91, 4 La 2.91
Zn 0.7500 0.7500 0.7500  4 Ir 2.91, 4 La 2.91
Ir 0.5000 0.5000 0.5000  8 Zn 2.91

=====

4.
Material: La4ZnIr2
Method: DFT, PBE
State: optimized geometry

## Properties
total magnetization	0.000	μB per atom
energy relative to the elements	-0.56	eV/atom

Lattice parameters (Å, degrees): 7.5480 7.5480 7.8928 105.99 105.99 74.07
With the nearest neighbours (Å) after each atom.
Fractional coordinates of all 14 atoms:
La 0.0000 0.0000 0.0000  3 Ir 2.95-2.97, 2 Zn 3.11-3.20
La 0.9996 0.9996 0.4766  3 Ir 2.95-3.12, 1 Zn 3.08
La 0.0094 0.4626 0.8604  3 Ir 2.87-3.07, 2 Zn 3.17-3.19
La 0.4518 0.9848 0.3496  3 Ir 2.93-3.04, 2 Zn 3.21-3.25
La 0.4626 0.0094 0.8604  3 Ir 2.87-3.07, 2 Zn 3.17-3.19
La 0.4797 0.4797 0.4657  4 Ir 3.03-3.15, 1 Zn 3.35
La 0.4943 0.4943 0.0046  4 Ir 3.01-3.24, 1 Zn 3.27
La 0.9848 0.4518 0.3496  3 Ir 2.93-3.04, 2 Zn 3.21-3.25
Zn 0.7755 0.7755 0.6340  7 La 3.19-3.35
Zn 0.7826 0.7826 0.1258  2 Ir 2.90, 6 La 3.08-3.25
Ir 0.1917 0.7071 0.2113  1 Zn 2.90, 6 La 2.95-3.07, 1 Ir 3.16
Ir 0.2622 0.2622 0.1241  6 La 2.87-3.04, 2 Ir 3.16
Ir 0.2758 0.2758 0.6296  7 La 2.90-3.21
Ir 0.7071 0.1917 0.2113  1 Zn 2.90, 6 La 2.95-3.07, 1 Ir 3.16

=====

5.
Material: La12Zn6Ir
Method: DFT, PBE
State: optimized geometry

## Properties
total magnetization	0.000	μB per atom
energy relative to the elements	-0.18	eV/atom

Lattice parameters (Å, degrees): 8.4011 8.4011 8.4011 93.61 93.61 93.61
With the nearest neighbours (Å) after each atom.
Fractional coordinates of all 19 atoms:
La 0.0322 0.6739 0.9164  1 Ir 2.82, 1 Zn 3.15
La 0.0836 0.9678 0.3261  1 Ir 2.82, 1 Zn 3.15
La 0.1913 0.5439 0.4297  4 Zn 3.12-3.32
La 0.3261 0.0836 0.9678  1 Ir 2.82, 1 Zn 3.15
La 0.4297 0.1913 0.5439  4 Zn 3.12-3.32
La 0.4561 0.5703 0.8087  4 Zn 3.12-3.32
La 0.5439 0.4297 0.1913  4 Zn 3.12-3.32
La 0.5703 0.8087 0.4561  4 Zn 3.12-3.32
La 0.6739 0.9164 0.0322  1 Ir 2.82, 1 Zn 3.15
La 0.8087 0.4561 0.5703  4 Zn 3.12-3.32
La 0.9164 0.0322 0.6739  1 Ir 2.82, 1 Zn 3.15
La 0.9678 0.3261 0.0836  1 Ir 2.82, 1 Zn 3.15
Zn 0.1479 0.3425 0.7380  8 La 3.12-3.36
Zn 0.2620 0.8521 0.6575  8 La 3.12-3.36
Zn 0.3425 0.7380 0.1479  8 La 3.12-3.36
Zn 0.6575 0.2620 0.8521  8 La 3.12-3.36
Zn 0.7380 0.1479 0.3425  8 La 3.12-3.36
Zn 0.8521 0.6575 0.2620  8 La 3.12-3.36
Ir 0.0000 0.0000 0.0000  6 La 2.82

=====

6.
Material: La2Zn2Ir
Method: DFT, PBE
State: optimized geometry

## Properties
total magnetization	0.000	μB per atom
energy relative to the elements	-0.51	eV/atom

Lattice parameters (Å, degrees): 5.8969 5.8969 11.4118 109.25 109.25 40.46
With the nearest neighbours (Å) after each atom.
Fractional coordinates of all 10 atoms:
La 0.0042 0.0042 0.3416  3 Ir 3.03-3.33, 5 Zn 3.22-3.28
La 0.1950 0.1950 0.1268  2 Ir 2.93, 3 Zn 3.11-3.20
La 0.8050 0.8050 0.8732  2 Ir 2.93, 3 Zn 3.11-3.20
La 0.9958 0.9958 0.6584  3 Ir 3.03-3.33, 5 Zn 3.22-3.28
Zn 0.3200 0.3200 0.4500  3 Ir 2.66-2.79
Zn 0.4769 0.4769 0.1082  1 Ir 2.68, 1 Zn 2.69
Zn 0.5231 0.5231 0.8918  1 Ir 2.68, 1 Zn 2.69
Zn 0.6800 0.6800 0.5500  3 Ir 2.66-2.79
Ir 0.3062 0.3062 0.6892  4 Zn 2.66-2.79, 2 La 2.93
Ir 0.6938 0.6938 0.3108  4 Zn 2.66-2.79, 2 La 2.93

=====

Q: What is the formula in the fourth record?
A: La4ZnIr2

=====

Q: What is the formula in the third record?
A: LaZn2Ir